No. 1
First-principles (PBE) data for In2PbCl4 after structural relaxation, as listed in Alexandria via LeMat-Bulk.

Cell: 10.5449 10.5449 10.5449 Å, 149.73 149.73 43.34°
Element x y z (fractional)
In  0.1732  0.1732  0.0000
In  0.8268  0.8268  0.0000
Pb  0.0000  0.0000  0.0000
Cl  0.0000  0.5000  0.5000
Cl  0.3023  0.3023  0.0000
Cl  0.5000  0.0000  0.5000
Cl  0.6977  0.6977  0.0000

Calculated values
total energy	-3.135	eV per atom
V	42.45	A^3/atom
symmetry	I4/mmm (139)
E_form (uncorrected)	-74.0	kJ/mol of atoms
E above lowest polymorph	1.38	eV/f.u.



No. 2
First-principles (PBE) data for In2PbCl after structural relaxation, as listed in Alexandria via LeMat-Bulk.

Cell: 6.4696 6.4696 5.2950 Å, 95.22 95.22 31.51°
Element x y z (fractional)
In  0.2166  0.2166  0.2493
In  0.7834  0.7834  0.7507
Pb  0.5000  0.5000  0.0000
Cl  0.0000  0.0000  0.5000

Calculated values
total energy	-3.008	eV per atom
Fermi-level density of states	1.64	states/eV/f.u.
V	28.83	A^3/atom
symmetry	C2/m (12)
E_form (uncorrected)	-24.2	kJ/mol of atoms
E above lowest polymorph	0.28	eV/f.u.